ThCdHg2 after structural relaxation. Source: Alexandria, functional PBE.

## Properties
The calculation puts the calculated total energy at -2.476 eV per atom. The calculation puts the energy of formation at -0.241 eV/atom.

Cell: 7.3721 7.3721 7.3721 Å, 90.00 90.00 90.00°
Closest atoms and distances in Å follow each position.
Space group Fm-3m (No. 225)
Inequivalent atoms, fractional coordinates:
Th 0.0000 0.0000 0.0000  8 Hg 3.19
Cd 0.0000 0.0000 0.5000  8 Hg 3.19
Hg 0.2500 0.2500 0.2500  4 Cd 3.19, 4 Th 3.19